Entry 1:
An optimized crystal structure of CdPtS. Source: Alexandria, functional PBE.

- raw formation energy (meV/atom) = -311

```
CdPtS
1.0
-2.674 -2.428 0.095
0.618 -0.364 8.098
-5.508 6.095 0.694
Cd Pt S
4 4 4
Direct
0.750 0.746 0.781 Cd
0.750 0.254 0.281 Cd
0.250 0.754 0.219 Cd
0.250 0.246 0.719 Cd
0.749 0.868 0.470 Pt
0.751 0.132 0.970 Pt
0.249 0.632 0.530 Pt
0.251 0.368 0.030 Pt
0.749 0.438 0.540 S
0.751 0.562 0.040 S
0.249 0.062 0.460 S
0.251 0.938 0.960 S
```

Entry 2:
An optimized crystal structure of Li4Ac2TlSn3. Source: Alexandria, functional PBE.

- energy of formation from the pure elements (eV per atom) = -0.496

```
Li4Ac2TlSn3
1.0
4.716 0.000 0.000
0.000 4.716 0.000
0.000 0.000 11.238
Li Ac Tl Sn
4 2 1 3
Direct
0.500 0.500 0.000 Li
0.000 0.000 0.000 Li
0.500 0.000 0.636 Li
0.000 0.500 0.364 Li
0.500 0.000 0.236 Ac
0.000 0.500 0.764 Ac
0.500 0.500 0.500 Tl
0.000 0.000 0.500 Sn
0.500 0.000 0.873 Sn
0.000 0.500 0.127 Sn
```

no.,magnetic moment (μB per cell),DFT total energy (eV per atom)
1,0.000,-4.005
2,0.000,-3.520